Here is TiCuRePb2 after structural relaxation from Alexandria via LeMat-Bulk. Energies are from GGA-PBE.

Cell lengths 5.328, 5.328, 4.729 Å; angles 90.00, 90.00, 90.00 degrees
Positions (direct):
Ti: 0.000 0.000 0.000
Cu: 0.500 0.500 0.000
Re: 0.000 0.000 0.500
Pb: 0.000 0.500 0.500
Pb: 0.500 0.000 0.500

Properties
The calculation puts the energy of formation from the pure elements at 0.894 eV per atom. The uncorrected energy is -5.4770 eV/atom.

---

Here is BaPmMg2Sn2 after structural relaxation from Alexandria via LeMat-Bulk. Energies are from GGA-PBE.

Cell lengths 5.032, 5.032, 8.262 Å; angles 90.00, 90.00, 120.00 degrees
Positions (direct):
Ba: 0.000 0.000 0.000
Pm: 0.000 0.000 0.500
Mg: 0.333 0.667 0.687
Mg: 0.667 0.333 0.313
Sn: 0.333 0.667 0.278
Sn: 0.667 0.333 0.722

Properties
The calculation puts the energy of formation from the pure elements at -0.531 eV per atom. The uncorrected energy is -3.5086 eV/atom.

---

Here is AgAsOs after structural relaxation from Alexandria via LeMat-Bulk. Energies are from GGA-PBE.

Cell lengths 2.981, 2.981, 6.815 Å; angles 90.00, 90.00, 120.00 degrees
Positions (direct):
Ag: 0.000 0.000 0.000
As: 0.667 0.333 0.396
Os: 0.333 0.667 0.652

Properties
The value obtained for the polymorph energy (0 for the lowest one) is 0 meV per atom. The calculation puts the energy of formation from the pure elements at 0.356 eV per atom. The uncorrected energy is -5.8876 eV/atom.

---

Here is Pm2HgBi after structural relaxation from Alexandria via LeMat-Bulk. Energies are from GGA-PBE.

Cell lengths 4.071, 4.071, 7.049 Å; angles 90.00, 90.00, 90.00 degrees
Positions (direct):
Pm: 0.000 0.000 0.250
Pm: 0.000 0.000 0.750
Hg: 0.500 0.500 0.000
Bi: 0.500 0.500 0.500

Properties
The value obtained for the polymorph energy (0 for the lowest one) is 22 meV per atom. The calculation puts the energy of formation from the pure elements at -0.618 eV per atom. The uncorrected energy is -4.0387 eV/atom.

---

Here is Sm8GaIr3I4 after structural relaxation from Alexandria via LeMat-Bulk. Energies are from GGA-PBE.

Cell lengths 9.353, 9.353, 9.353 Å; angles 53.66, 53.66, 53.66 degrees
Positions (direct):
Sm: 0.214 0.736 0.736
Sm: 0.229 0.229 0.229
Sm: 0.264 0.264 0.786
Sm: 0.264 0.786 0.264
Sm: 0.736 0.214 0.736
Sm: 0.736 0.736 0.214
Sm: 0.771 0.771 0.771
Sm: 0.786 0.264 0.264
Ga: 0.500 0.500 0.500
Ir: 0.000 0.000 0.500
Ir: 0.000 0.500 0.000
Ir: 0.500 0.000 0.000
I: 0.000 0.000 0.000
I: 0.000 0.500 0.500
I: 0.500 0.000 0.500
I: 0.500 0.500 0.000

Properties
The uncorrected formation energy comes out at -0.8951 eV/atom. The uncorrected energy is -5.4928 eV/atom.

---

Here is Dy2TmH after structural relaxation from Alexandria via LeMat-Bulk. Energies are from GGA-PBE.

Cell lengths 3.332, 3.332, 8.378 Å; angles 90.00, 90.00, 90.00 degrees
Positions (direct):
Dy: 0.000 0.000 0.193
Dy: 0.000 0.000 0.807
Tm: 0.500 0.500 0.500
H: 0.500 0.500 0.000

Properties
The value obtained for the polymorph energy (0 for the lowest one) is 291 meV per atom. The uncorrected energy is -4.1504 eV/atom.

---

Here is KNbO3 after structural relaxation from Alexandria via LeMat-Bulk. Energies are from GGA-PBE.

Cell lengths 7.130, 7.130, 7.130 Å; angles 140.27, 140.27, 57.45 degrees
Positions (direct):
K: 0.111 0.111 0.000
K: 0.889 0.889 0.000
Nb: 0.500 0.500 0.000
Nb: 0.750 0.250 0.500
O: 0.033 0.533 0.500
O: 0.127 0.354 0.773
O: 0.467 0.967 0.500
O: 0.581 0.354 0.227
O: 0.646 0.419 0.773
O: 0.646 0.873 0.227

Properties
The uncorrected formation energy comes out at -1.6257 eV/atom. The uncorrected energy is -6.8341 eV/atom.

---

Here is BaSrCuGe after structural relaxation from Alexandria via LeMat-Bulk. Energies are from GGA-PBE.

Cell lengths 5.545, 5.545, 5.545 Å; angles 60.00, 60.00, 60.00 degrees
Positions (direct):
Ba: 0.000 0.000 0.000
Sr: 0.500 0.500 0.500
Cu: 0.250 0.250 0.250
Ge: 0.750 0.750 0.750

Properties
The value obtained for the polymorph energy (0 for the lowest one) is 140 meV per atom. The calculation puts the energy of formation from the pure elements at -0.210 eV per atom. The uncorrected energy is -3.2900 eV/atom.

---

Here is Nd2Y6S3 after structural relaxation from Alexandria via LeMat-Bulk. Energies are from GGA-PBE.

Cell lengths 24.742, 24.742, 24.742 Å; angles 8.75, 8.75, 8.75 degrees
Positions (direct):
Nd: 0.058 0.058 0.058
Nd: 0.942 0.942 0.942
Y: 0.143 0.143 0.143
Y: 0.314 0.314 0.314
Y: 0.432 0.432 0.432
Y: 0.568 0.568 0.568
Y: 0.686 0.686 0.686
Y: 0.857 0.857 0.857
S: 0.212 0.212 0.212
S: 0.500 0.500 0.500
S: 0.788 0.788 0.788

Properties
The uncorrected formation energy comes out at -1.0614 eV/atom. The uncorrected energy is -6.5798 eV/atom.

---

Here is NdPa2Bi5 after structural relaxation from Alexandria via LeMat-Bulk. Energies are from GGA-PBE.

Cell lengths 8.331, 13.368, 4.523 Å; angles 90.00, 90.00, 90.00 degrees
Positions (direct):
Nd: 0.000 0.000 0.000
Nd: 0.500 0.500 0.000
Pa: 0.102 0.319 0.500
Pa: 0.398 0.819 0.500
Pa: 0.602 0.181 0.500
Pa: 0.898 0.681 0.500
Bi: 0.000 0.500 0.000
Bi: 0.130 0.779 0.000
Bi: 0.242 0.077 0.500
Bi: 0.258 0.577 0.500
Bi: 0.370 0.279 0.000
Bi: 0.500 0.000 0.000
Bi: 0.630 0.721 0.000
Bi: 0.742 0.423 0.500
Bi: 0.758 0.923 0.500
Bi: 0.870 0.221 0.000

Properties
The calculation puts the energy of formation from the pure elements at -0.256 eV per atom. The uncorrected energy is -5.6519 eV/atom.

---

Here is Ac2La2CoAg2 after structural relaxation from Alexandria via LeMat-Bulk. Energies are from GGA-PBE.

Cell lengths 4.105, 7.531, 7.928 Å; angles 110.52, 104.77, 90.18 degrees
Positions (direct):
Ac: 0.207 0.208 0.411
Ac: 0.793 0.792 0.589
La: 0.477 0.225 0.956
La: 0.523 0.775 0.044
Co: 0.000 0.000 0.000
Ag: 0.115 0.560 0.232
Ag: 0.885 0.440 0.768

Properties
The calculation puts the energy of formation from the pure elements at -0.153 eV per atom. The uncorrected energy is -4.5641 eV/atom.

---

Here is Ti2NiPt6 after structural relaxation from Alexandria via LeMat-Bulk. Energies are from GGA-PBE.

Cell lengths 7.462, 7.462, 2.818 Å; angles 90.00, 90.00, 120.00 degrees
Positions (direct):
Ti: 0.333 0.667 0.000
Ti: 0.667 0.333 0.000
Ni: 0.000 0.000 0.500
Pt: 0.000 0.295 0.000
Pt: 0.000 0.632 0.500
Pt: 0.295 0.000 0.000
Pt: 0.368 0.368 0.500
Pt: 0.632 0.000 0.500
Pt: 0.705 0.705 0.000

Properties
The calculation puts the energy of formation from the pure elements at -0.612 eV per atom. The uncorrected energy is -7.0362 eV/atom.